Density functional theory data (PBE-GGA) for NdDy7Hg4 after structural relaxation.

## Properties
- theoretical density (g/cm³) = 10.05
- calculated volume (A^3/atom) = 28.701
- total energy (eV per atom) = -3.2909
- ΔE_f (meV per atom) = -108

Cell: 14.6549 5.7057 9.7498 Å, 90.00 122.33 90.00°
Closest atoms and distances in Å follow each position.
Space group C2/m (No. 12)
Symmetry-distinct sites (fractional):
Nd: 0.0000 0.0000 0.0000 [2 per cell]  2 Dy 2.85
Dy: 0.0000 0.5000 0.0000 [2 per cell]  2 Nd 2.85, 4 Hg 2.97-3.09
Dy: 0.0662 0.0000 0.4058 [4 per cell]  3 Hg 3.08-3.20, 1 Dy 3.31
Dy: 0.2075 0.0000 0.8837 [4 per cell]  4 Hg 3.23-3.58, 5 Dy 3.44-3.58
Dy: 0.2303 0.5000 0.6818 [4 per cell]  4 Hg 2.95-3.13
Hg: 0.0461 0.5000 0.7257 [4 per cell]  4 Dy 2.95-3.20, 1 Hg 3.16
Hg: 0.1895 0.5000 0.3385 [4 per cell]  6 Dy 2.97-3.23, 1 Hg 3.16

***

Density functional theory data (PBE-GGA) for NaCuO2 after structural relaxation.

## Properties
- raw formation energy (eV per atom) = -0.99
- theoretical density (g/cm³) = 4.07
- calculated volume (A^3/atom) = 12.087
- total energy (eV per atom) = -4.8239

Cell: 6.6018 2.7765 6.1225 Å, 90.00 120.50 90.00°
Closest atoms and distances in Å follow each position.
Space group C2/m (No. 12)
Symmetry-distinct sites (fractional):
Na: 0.0000 0.0000 0.0000 [2 per cell]  6 O 2.40-2.41
Cu: 0.0000 0.0000 0.5000 [2 per cell]  4 O 1.85
O: 0.0776 0.5000 0.7299 [4 per cell]  2 Cu 1.85

***

Density functional theory data (PBE-GGA) for TmInIrPt after structural relaxation.

## Properties
- theoretical density (g/cm³) = 14.90
- calculated volume (A^3/atom) = 18.690
- total energy (eV per atom) = -6.2428
- ΔE_f (meV per atom) = -715

Cell: 6.6872 6.6872 6.6872 Å, 90.00 90.00 90.00°
Closest atoms and distances in Å follow each position.
Space group F-43m (No. 216)
Symmetry-distinct sites (fractional):
Tm: 0.0000 0.0000 0.0000 [4 per cell]  4 Ir 2.90, 4 Pt 2.90
In: 0.0000 0.0000 0.5000 [4 per cell]  4 Ir 2.90, 4 Pt 2.90
Ir: 0.2500 0.2500 0.2500 [4 per cell]  4 In 2.90, 4 Tm 2.90
Pt: 0.2500 0.2500 0.7500 [4 per cell]  4 In 2.90, 4 Tm 2.90

***

Density functional theory data (PBE-GGA) for SrAg3Sb2 after structural relaxation.

## Properties
- raw formation energy (eV per atom) = -0.30
- theoretical density (g/cm³) = 7.23
- calculated volume (A^3/atom) = 25.056
- total energy (eV per atom) = -3.3772
- offset from the most stable computed form (meV/atom) = 46

Cell: 16.9891 4.8864 8.3024 Å, 90.00 119.25 90.00°
Closest atoms and distances in Å follow each position.
Space group C2/m (No. 12)
Symmetry-distinct sites (fractional):
Sr: 0.1361 0.0000 0.1359 [4 per cell]  8 Ag 3.21-3.45, 4 Sb 3.49
Ag: 0.0005 0.0000 0.3354 [4 per cell]  1 Ag 2.74, 4 Sb 2.78-3.05
Ag: 0.1867 0.5000 0.4650 [4 per cell]  4 Sb 2.90-3.06, 2 Ag 3.12, 1 Sr 3.21
Ag: 0.1867 0.5000 0.9082 [4 per cell]  4 Sb 2.89-3.06, 2 Ag 3.12, 1 Sr 3.21
Sb: 0.0000 0.5000 0.1762 [4 per cell]  4 Ag 2.78-2.90, 1 Sb 2.93
Sb: 0.1837 0.0000 0.6838 [4 per cell]  8 Ag 3.00-3.06

***

Density functional theory data (PBE-GGA) for AcSi2Tc2C after structural relaxation.

## Properties
- raw formation energy (eV per atom) = -0.42
- theoretical density (g/cm³) = 8.29
- calculated volume (A^3/atom) = 16.396
- total energy (eV per atom) = -7.9053

Cell: 4.2159 4.2159 5.5348 Å, 90.00 90.00 90.00°
Closest atoms and distances in Å follow each position.
Space group P4/mmm (No. 123)
Symmetry-distinct sites (fractional):
Ac: 0.0000 0.0000 0.0000 [1 per cell]  2 C 2.77
Si: 0.5000 0.5000 0.2323 [2 per cell]  1 Si 2.57, 4 Tc 2.58
Tc: 0.0000 0.5000 0.5000 [2 per cell]  2 C 2.11
C: 0.0000 0.0000 0.5000 [1 per cell]  4 Tc 2.11

***

Density functional theory data (PBE-GGA) for MoAs2 after structural relaxation.

## Properties
- theoretical density (g/cm³) = 7.78
- calculated volume (A^3/atom) = 17.490
- total energy (eV per atom) = -5.7670
- ΔE_f (meV per atom) = 943

Cell: 7.4874 7.4874 7.4874 Å, 90.00 90.00 90.00°
Closest atoms and distances in Å follow each position.
Space group Fd-3m (No. 227, origin choice 2)
Symmetry-distinct sites (fractional):
Mo: 0.1250 0.1250 0.1250 [8 per cell]  12 As 3.10, 4 Mo 3.24
As: 0.0000 0.0000 0.5000 [16 per cell]  6 As 2.65

***

Density functional theory data (PBE-GGA) for Li2UBr6 after structural relaxation.

## Properties
- raw formation energy (eV per atom) = -1.41
- theoretical density (g/cm³) = 4.14
- calculated volume (A^3/atom) = 32.586
- total energy (eV per atom) = -4.2060
- offset from the most stable computed form (meV/atom) = 0

Cell: 6.9533 6.9533 14.0089 Å, 90.00 90.00 120.00°
Closest atoms and distances in Å follow each position.
Space group P-31c (No. 163)
Symmetry-distinct sites (fractional):
Li: 0.0000 0.0000 0.2500 [2 per cell]  6 Br 2.79
Li: 0.3333 0.6667 0.2500 [2 per cell]  6 Br 2.79
U: 0.3333 0.6667 0.7500 [2 per cell]  6 Br 2.79
Br: 0.0002 0.3333 0.1389 [12 per cell]  2 Li 2.79, 1 U 2.79

***

Density functional theory data (PBE-GGA) for Fe2Co12Rh after structural relaxation.

## Properties
- theoretical density (g/cm³) = 8.53
- calculated volume (A^3/atom) = 11.964
- total energy (eV per atom) = -6.7330
- ΔE_f (meV per atom) = 570

Cell: 4.5608 4.5608 17.2542 Å, 90.00 90.00 90.00°
Closest atoms and distances in Å follow each position.
Space group P4/nbm (No. 125, origin choice 2)
Symmetry-distinct sites (fractional):
Fe: 0.2500 0.7500 0.2037 [4 per cell]  10 Co 2.44-2.72
Co: 0.0561 0.5561 0.3785 [8 per cell]  7 Co 2.34-2.50, 1 Rh 2.44
Co: 0.0756 0.5756 0.0603 [8 per cell]  8 Co 2.25-2.38
Co: 0.2500 0.2500 0.1535 [4 per cell]  5 Co 2.20-2.33, 4 Fe 2.44
Co: 0.2500 0.2500 0.2811 [4 per cell]  5 Co 2.20-2.36
Rh: 0.2500 0.7500 0.5000 [2 per cell]  4 Co 2.44

***

- The lowest calculated volume belongs to which entry?
  Fe2Co12Rh

***

- Number 4 is which compound?
  SrAg3Sb2